Below is a relaxed La4Dy10Ho crystal, with properties calculated at the PBE level.

As for the magnetization: 0.00 μB/cell. Its symmetry is I4/m, No. 87. The raw total energy comes out at -64.92 eV for the cell shown.

abc: 8.7528 8.7528 8.7528
angles: 111.79 111.79 104.92
Closest atoms and distances in Å follow each position.
Fractional positions:
La (0.0652, 0.3343, 0.3996)  2 Dy 3.19, 1 Ho 3.34, 1 La 3.49
La (0.3343, 0.9348, 0.2691)  2 Dy 3.19, 1 Ho 3.34, 1 La 3.49
La (0.6657, 0.0652, 0.7309)  2 Dy 3.19, 1 Ho 3.34, 1 La 3.49
La (0.9348, 0.6657, 0.6004)  2 Dy 3.19, 1 Ho 3.34, 1 La 3.49
Dy (0.1305, 0.4527, 0.9053)  5 Dy 3.21-3.44
Dy (0.2252, 0.1305, 0.6777)  5 Dy 3.21-3.44
Dy (0.2500, 0.7500, 0.5000)  4 La 3.19, 4 Dy 3.21
Dy (0.4527, 0.5474, 0.3223)  5 Dy 3.21-3.44
Dy (0.4526, 0.7748, 0.9053)  5 Dy 3.21-3.44
Dy (0.5474, 0.2252, 0.0947)  5 Dy 3.21-3.44
Dy (0.5473, 0.4526, 0.6777)  5 Dy 3.21-3.44
Dy (0.7500, 0.2500, 0.5000)  4 La 3.19, 4 Dy 3.21
Dy (0.7748, 0.8695, 0.3223)  5 Dy 3.21-3.44
Dy (0.8695, 0.5473, 0.0947)  5 Dy 3.21-3.44
Ho (0.0000, 0.0000, 0.0000)  4 La 3.34